Density functional theory data (PBE with a Hubbard U) for a relaxed structure of VCoOsO6.

Structure (CIF):
```
data_VCoOsO6
_chemical_formula_sum 'V2 Co2 Os2 O12'
_cell_length_a 4.8171
_cell_length_b 4.8171
_cell_length_c 8.8066
_cell_angle_alpha 90.00
_cell_angle_beta 90.00
_cell_angle_gamma 120.00
_symmetry_space_group_name_H-M 'P -3 1 c'
_symmetry_Int_Tables_number 163
_symmetry_space_group_name_Hall '-P 3 2c'
loop_
_atom_site_label
_atom_site_type_symbol
_atom_site_fract_x
_atom_site_fract_y
_atom_site_fract_z
V1 V 0.3333 0.6667 0.2500
Co1 Co 0.0000 0.0000 0.0000
Os1 Os 0.3333 0.6667 0.7500
O1 O 0.0020 0.3313 0.1240
```

## Properties
The total energy comes out at -7.120 eV per atom.